# LiB

A relaxed LiB crystal (PBEsol, Alexandria).

Cell: 6.0991 3.0722 5.6454 Å, 90.00 90.00 90.00°
With the nearest neighbours (Å) after each atom.
Space group Pnma (No. 62)
Inequivalent atoms, fractional coordinates:
Li 0.2434 0.2500 0.2424  2 B 2.19
B 0.0007 0.2500 0.5279  2 B 1.57

Calculated values
Offset from the most stable computed form in kcal/mol of atoms: 1.825
V in Å³ per atom: 13.22
M_tot in μB/cell: 0.0
E in eV per cell: -36.45



# LiMg9B20

A relaxed LiMg9B20 crystal (PBEsol, Alexandria).

Cell: 6.1123 7.0338 7.6164 Å, 73.68 78.61 64.34°
With the nearest neighbours (Å) after each atom.
Space group P-1 (No. 2)
Inequivalent atoms, fractional coordinates:
Li 0.0000 0.0000 0.0000  12 B 2.47-2.49
Mg 0.0995 0.3957 0.8023  12 B 2.46-2.50
Mg 0.1997 0.7997 0.6014  12 B 2.46-2.49
Mg 0.2997 0.2005 0.3999  12 B 2.48-2.49
Mg 0.3963 0.6042 0.1980  12 B 2.47-2.50
Mg 0.5000 0.0000 0.0000  12 B 2.47-2.49
B 0.0011 0.1646 0.6671  3 B 1.75-1.78
B 0.0986 0.2337 0.1339  3 B 1.75-1.77
B 0.1000 0.5667 0.4671  3 B 1.76-1.78
B 0.1991 0.9673 0.2667  3 B 1.76
B 0.1998 0.6339 0.9316  3 B 1.75-1.77
B 0.2994 0.0328 0.7333  3 B 1.75-1.77
B 0.3003 0.3664 0.0669  3 B 1.76-1.77
B 0.3996 0.4339 0.5332  3 B 1.76-1.77
B 0.4001 0.7660 0.8658  3 B 1.76
B 0.4993 0.8347 0.3328  3 B 1.76-1.77

Calculated values
V in Å³ per atom: 9.41
M_tot in μB/cell: 0.0
E in eV per cell: -161.76



# LiMn3B

A relaxed LiMn3B crystal (PBEsol, Alexandria).

Cell: 3.7370 3.7370 3.7370 Å, 90.00 90.00 90.00°
With the nearest neighbours (Å) after each atom.
Space group Pm-3m (No. 221)
Inequivalent atoms, fractional coordinates:
Li 0.0000 0.0000 0.0000  6 Mn 1.87
Mn 0.0000 0.0000 0.5000  2 Li 1.87
B 0.5000 0.5000 0.5000  12 Mn 2.64

Calculated values
V in Å³ per atom: 10.44
M_tot in μB/cell: 5.6
E in eV per cell: -29.96



What is the M_tot in the second record? 0.0 μB/cell



What is the V in the first record? 13.22 Å³ per atom



What did the first record say?
# LiB

A relaxed LiB crystal (PBEsol, Alexandria).

Cell: 6.0991 3.0722 5.6454 Å, 90.00 90.00 90.00°
With the nearest neighbours (Å) after each atom.
Space group Pnma (No. 62)
Inequivalent atoms, fractional coordinates:
Li 0.2434 0.2500 0.2424  2 B 2.19
B 0.0007 0.2500 0.5279  2 B 1.57

Calculated values
Offset from the most stable computed form in kcal/mol of atoms: 1.825
V in Å³ per atom: 13.22
M_tot in μB/cell: 0.0
E in eV per cell: -36.45



Which of these has the highest V? LiB